Record 1
Below is crystalline La5Cu4 at its relaxed geometry, with properties calculated at the PBE-GGA level.

Output
**SG**: P6_3/mcm (193)
**Calculated volume**: 481.72 Å³/cell
**Formation enthalpy at 0 K**: -57 meV per atom
**Polymorph energy (0 for the lowest one)**: 0.0 meV per atom

Lattice parameters (Å, degrees): 8.6650 8.6650 7.4085 90.00 90.00 60.00
Closest atoms and distances in Å follow each position.
Positions (direct):
La 0.0000 0.2656 0.2500  5 Cu 2.95-3.01
La 0.0000 0.7344 0.7500  5 Cu 2.95-3.01
La 0.3333 0.3333 0.5000  6 Cu 3.25
La 0.6667 0.6667 0.0000  6 Cu 3.25
La 0.3333 0.3333 0.0000  6 Cu 3.25
La 0.2656 0.7344 0.2500  5 Cu 2.95-3.01
La 0.6667 0.6667 0.5000  6 Cu 3.25
La 0.7344 0.2656 0.7500  5 Cu 2.95-3.01
La 0.7344 0.0000 0.2500  5 Cu 2.95-3.01
La 0.2656 0.0000 0.7500  5 Cu 2.95-3.01
Cu 0.0000 0.0000 0.0000  6 La 2.95
Cu 0.0000 0.0000 0.5000  6 La 2.95
Cu 0.0000 0.3930 0.7500  7 La 2.96-3.25
Cu 0.6070 0.0000 0.7500  7 La 2.96-3.25
Cu 0.0000 0.6070 0.2500  7 La 2.96-3.25
Cu 0.6070 0.3930 0.2500  7 La 2.96-3.25
Cu 0.3930 0.6070 0.7500  7 La 2.96-3.25
Cu 0.3930 0.0000 0.2500  7 La 2.96-3.25

---

Record 2
Below is crystalline La3Cu4 at its relaxed geometry, with properties calculated at the PBE-GGA level.

Output
**SG**: I4/mmm (139)
**Calculated volume**: 157.97 Å³/cell
**Formation enthalpy at 0 K**: -32 meV per atom
**Polymorph energy (0 for the lowest one)**: 127.1 meV per atom

Lattice parameters (Å, degrees): 13.1588 13.1588 13.1588 164.73 164.73 21.66
Closest atoms and distances in Å follow each position.
Positions (direct):
La 0.3117 0.3117 0.0000  5 Cu 2.92-3.11
La 0.0000 0.0000 0.0000  10 Cu 2.98-3.15
La 0.6883 0.6883 0.0000  5 Cu 2.92-3.11
Cu 0.1154 0.1154 0.0000  4 Cu 2.68, 1 La 2.98
Cu 0.5755 0.5755 0.0000  4 Cu 2.68, 1 La 2.92
Cu 0.4245 0.4245 0.0000  4 Cu 2.68, 1 La 2.92
Cu 0.8846 0.8846 0.0000  4 Cu 2.68, 1 La 2.98

---

Record 3
Below is crystalline LaCu at its relaxed geometry, with properties calculated at the PBE-GGA level.

Output
**SG**: P4_2/mnm (136)
**Calculated volume**: 208.83 Å³/cell
**Formation enthalpy at 0 K**: -24 meV per atom

Lattice parameters (Å, degrees): 5.9711 5.9711 5.8572 90.00 90.00 90.00
Closest atoms and distances in Å follow each position.
Positions (direct):
Cu 0.8395 0.8395 0.5000  1 Cu 2.71, 4 La 2.91-2.94
Cu 0.1605 0.1605 0.5000  1 Cu 2.71, 4 La 2.91-2.94
Cu 0.6605 0.3395 0.0000  1 Cu 2.71, 4 La 2.91-2.94
Cu 0.3395 0.6605 0.0000  1 Cu 2.71, 4 La 2.91-2.94
La 0.1952 0.1952 0.0000  4 Cu 2.91-2.94
La 0.6952 0.3048 0.5000  4 Cu 2.91-2.94
La 0.8048 0.8048 0.0000  4 Cu 2.91-2.94
La 0.3048 0.6952 0.5000  4 Cu 2.91-2.94

---

Record 4
Below is crystalline LaCu at its relaxed geometry, with properties calculated at the PBE-GGA level.

Output
**SG**: Cm (8)
**Calculated volume**: 146.36 Å³/cell
**Formation enthalpy at 0 K**: -80 meV per atom

Lattice parameters (Å, degrees): 6.2534 6.2534 7.5851 57.19 57.19 36.96
Closest atoms and distances in Å follow each position.
Positions (direct):
La 0.7878 0.7878 0.0419  5 Cu 2.99-3.18
La 0.6432 0.6432 0.6589  6 Cu 3.03-3.30
La 0.0053 0.0053 0.4337  3 Cu 2.81-2.92
Cu 0.0505 0.0505 0.0270  3 Cu 2.53-2.70, 1 La 2.81
Cu 0.3052 0.3052 0.7326  1 Cu 2.53
Cu 0.3747 0.3747 0.2725  2 Cu 2.70

---

Record 5
Below is crystalline LaCu at its relaxed geometry, with properties calculated at the PBE-GGA level.

Output
**SG**: Pm-3n (223)
**Calculated volume**: 523.24 Å³/cell
**Formation enthalpy at 0 K**: 638 meV per atom

Lattice parameters (Å, degrees): 8.0581 8.0581 8.0581 90.00 90.00 90.00
Closest atoms and distances in Å follow each position.
Positions (direct):
Cu 0.5000 0.0000 0.2500  4 La 2.85
Cu 0.5000 0.0000 0.7500  4 La 2.85
Cu 0.0000 0.7500 0.5000  4 La 2.85
Cu 0.2500 0.5000 0.0000  4 La 2.85
Cu 0.7500 0.5000 0.0000  4 La 2.85
Cu 0.0000 0.2500 0.5000  4 La 2.85
La 0.2500 0.0000 0.5000  4 Cu 2.85
La 0.0000 0.5000 0.2500  4 Cu 2.85
La 0.7500 0.0000 0.5000  4 Cu 2.85
La 0.5000 0.2500 0.0000  4 Cu 2.85
La 0.0000 0.5000 0.7500  4 Cu 2.85
La 0.5000 0.7500 0.0000  4 Cu 2.85

---

Record 6
Below is crystalline LaCu at its relaxed geometry, with properties calculated at the PBE-GGA level.

Output
**SG**: Fd-3m (227)
**Calculated volume**: 84.75 Å³/cell
**Formation enthalpy at 0 K**: -15 meV per atom

Lattice parameters (Å, degrees): 4.9305 4.9305 4.9305 60.00 60.00 60.00
Closest atoms and distances in Å follow each position.
Positions (direct):
Cu 0.2500 0.2500 0.2500  4 La 3.02, 4 Cu 3.02
Cu 0.0000 0.0000 0.0000  4 Cu 3.02, 4 La 3.02
La 0.5000 0.5000 0.5000  4 La 3.02, 4 Cu 3.02
La 0.7500 0.7500 0.7500  4 La 3.02, 4 Cu 3.02

---

Record 7
Below is crystalline La5Cu3 at its relaxed geometry, with properties calculated at the PBE-GGA level.

Output
**SG**: C2/m (12)
**Calculated volume**: 438.55 Å³/cell
**Formation enthalpy at 0 K**: -48 meV per atom
**Polymorph energy (0 for the lowest one)**: 45.0 meV per atom

Lattice parameters (Å, degrees): 8.8538 8.8532 8.8633 97.51 97.51 137.42
Closest atoms and distances in Å follow each position.
Positions (direct):
La 0.5916 0.2921 0.8836  4 Cu 3.00-3.31, 1 La 3.30
La 0.2079 0.9084 0.1165  4 Cu 3.00-3.31, 1 La 3.30
La 0.7090 0.5922 0.3011  4 Cu 3.00-3.30, 1 La 3.29
La 0.7918 0.0921 0.8836  4 Cu 3.00-3.31, 1 La 3.30
La 0.4080 0.7083 0.1164  4 Cu 3.00-3.31, 1 La 3.30
La 0.7494 0.2497 0.5003  4 Cu 3.04-3.05, 2 La 3.21-3.22
La 0.0919 0.2094 0.3012  4 Cu 3.00-3.30, 1 La 3.29
La 0.2495 0.7498 0.4997  4 Cu 3.04-3.05, 2 La 3.21-3.22
La 0.2907 0.4081 0.6988  4 Cu 3.00-3.30, 1 La 3.29
La 0.9078 0.7910 0.6989  4 Cu 3.00-3.30, 1 La 3.29
Cu 0.6558 0.8429 0.5000  6 La 3.00-3.31
Cu 0.8430 0.3436 0.1867  6 La 3.00-3.30
Cu 0.7498 0.7502 0.0000  8 La 3.10-3.12, 2 Cu 3.21
Cu 0.2497 0.2503 0.0000  8 La 3.10-3.12, 2 Cu 3.21
Cu 0.3426 0.1562 0.5000  6 La 3.00-3.31
Cu 0.1550 0.6556 0.8133  6 La 3.00-3.30

---

Record 8
Below is crystalline La3Cu11 at its relaxed geometry, with properties calculated at the PBE-GGA level.

Output
**SG**: Immm (71)
**Calculated volume**: 241.40 Å³/cell
**Formation enthalpy at 0 K**: -161 meV per atom

Lattice parameters (Å, degrees): 4.2675 8.0156 8.0156 68.42 74.56 74.56
Closest atoms and distances in Å follow each position.
Positions (direct):
Cu 0.5000 0.2876 0.7124  6 Cu 2.53-2.60
Cu 0.3249 0.0259 0.3244  5 Cu 2.53-2.69
Cu 0.5000 0.7124 0.2876  6 Cu 2.53-2.60
Cu 0.8822 0.3985 0.8370  6 Cu 2.47-2.68
Cu 0.6751 0.6756 0.9741  5 Cu 2.53-2.69
Cu 0.8822 0.8370 0.3985  6 Cu 2.47-2.68
Cu 0.1178 0.1630 0.6015  6 Cu 2.47-2.68
Cu 0.1178 0.6015 0.1630  6 Cu 2.47-2.68
Cu 0.0000 0.5000 0.5000  4 Cu 2.47
Cu 0.6751 0.9741 0.6756  5 Cu 2.53-2.69
Cu 0.3249 0.3244 0.0259  5 Cu 2.53-2.69
La 0.0000 0.0000 0.0000  4 Cu 2.93
La 0.3062 0.6938 0.6938  14 Cu 3.01-3.24
La 0.6938 0.3062 0.3062  14 Cu 3.01-3.24

---

Record 9
Below is crystalline LaCu at its relaxed geometry, with properties calculated at the PBE-GGA level.

Output
**SG**: P-3m1 (164)
**Calculated volume**: 110.23 Å³/cell
**Formation enthalpy at 0 K**: 132 meV per atom

Lattice parameters (Å, degrees): 3.9645 3.9645 8.0984 90.00 90.00 120.00
Closest atoms and distances in Å follow each position.
Positions (direct):
La 0.3333 0.6667 0.8192  4 Cu 3.00-3.01
La 0.0000 0.0000 0.4308  4 Cu 3.00-3.01
Cu 0.3333 0.6667 0.1911  3 Cu 2.53
Cu 0.0000 0.0000 0.0589  3 Cu 2.53

---

Record 10
Below is crystalline LaCu at its relaxed geometry, with properties calculated at the PBE-GGA level.

Output
**SG**: Fddd (70)
**Calculated volume**: 827.99 Å³/cell
**Formation enthalpy at 0 K**: -60 meV per atom

Lattice parameters (Å, degrees): 7.6447 9.3091 11.6348 90.00 90.00 90.00
Closest atoms and distances in Å follow each position.
Positions (direct):
Cu 0.1638 0.5000 0.0000  1 Cu 2.50
Cu 0.8362 0.0000 0.5000  1 Cu 2.50
Cu 0.9138 0.7500 0.2500  1 Cu 2.50
Cu 0.1638 0.0000 0.5000  1 Cu 2.50
Cu 0.4138 0.2500 0.2500  1 Cu 2.50
Cu 0.5862 0.7500 0.2500  1 Cu 2.50
Cu 0.4138 0.7500 0.7500  1 Cu 2.50
Cu 0.9138 0.2500 0.7500  1 Cu 2.50
Cu 0.8362 0.5000 0.0000  1 Cu 2.50
Cu 0.0862 0.2500 0.2500  1 Cu 2.50
Cu 0.0862 0.7500 0.7500  1 Cu 2.50
Cu 0.6638 0.5000 0.5000  1 Cu 2.50
Cu 0.3362 0.0000 0.0000  1 Cu 2.50
Cu 0.3362 0.5000 0.5000  1 Cu 2.50
Cu 0.6638 0.0000 0.0000  1 Cu 2.50
Cu 0.5862 0.2500 0.7500  1 Cu 2.50
La 0.2500 0.4555 0.7500  6 Cu 3.01-3.20
La 0.5000 0.7055 0.0000  6 Cu 3.01-3.20
La 0.0000 0.7945 0.0000  6 Cu 3.01-3.20
La 0.7500 0.0445 0.2500  6 Cu 3.01-3.20
La 0.2500 0.9555 0.2500  6 Cu 3.01-3.20
La 0.7500 0.5445 0.7500  6 Cu 3.01-3.20
La 0.5000 0.2945 0.0000  6 Cu 3.01-3.20
La 0.0000 0.7055 0.5000  6 Cu 3.01-3.20
La 0.2500 0.0445 0.7500  6 Cu 3.01-3.20
La 0.7500 0.9555 0.7500  6 Cu 3.01-3.20
La 0.7500 0.4555 0.2500  6 Cu 3.01-3.20
La 0.2500 0.5445 0.2500  6 Cu 3.01-3.20
La 0.0000 0.2055 0.0000  6 Cu 3.01-3.20
La 0.0000 0.2945 0.5000  6 Cu 3.01-3.20
La 0.5000 0.2055 0.5000  6 Cu 3.01-3.20
La 0.5000 0.7945 0.5000  6 Cu 3.01-3.20